1.
This record from Alexandria describes crystalline ErScCoGe at its relaxed geometry. The functional is PBE.

Geometry as POSCAR:
```
ErScCoGe
1.0
6.681 0.000 0.000
0.000 6.681 0.000
0.000 0.000 6.681
Er Sc Co Ge
4 4 4 4
Direct
0.000 0.000 0.000
0.000 0.500 0.500
0.500 0.000 0.500
0.500 0.500 0.000
0.000 0.000 0.500
0.000 0.500 0.000
0.500 0.000 0.000
0.500 0.500 0.500
0.250 0.250 0.750
0.250 0.750 0.250
0.750 0.250 0.250
0.750 0.750 0.750
0.250 0.250 0.250
0.250 0.750 0.750
0.750 0.250 0.750
0.750 0.750 0.250
```

**E**: -6.104 eV per atom
**D(E_F)**: 0.432 states/eV/atom
**DFT formation energy**: -173 kJ/mol of formula units


2.
This record from Alexandria describes crystalline ErScCo2Ge2 at its relaxed geometry. The functional is PBE.

Geometry as POSCAR:
```
ErScCo2Ge2
1.0
4.179 0.000 0.000
-2.090 3.619 0.000
0.000 0.000 6.598
Er Sc Co Ge
1 1 2 2
Direct
0.000 0.000 0.000
0.000 0.000 0.500
0.333 0.667 0.646
0.667 0.333 0.354
0.333 0.667 0.267
0.667 0.333 0.733
```

**E**: -6.375 eV per atom
**D(E_F)**: 0.643 states/eV/atom
**DFT formation energy**: -377 kJ/mol of formula units


3.
This record from Alexandria describes crystalline Er2Co5Si2Ge at its relaxed geometry. The functional is PBE.

Geometry as POSCAR:
```
Er2Co5Si2Ge
1.0
9.292 0.000 0.000
0.000 9.292 0.000
0.000 0.000 3.284
Er Co Si Ge
4 10 4 2
Direct
0.178 0.322 0.000
0.322 0.822 0.000
0.678 0.178 0.000
0.822 0.678 0.000
0.000 0.500 0.500
0.065 0.786 0.500
0.214 0.065 0.500
0.286 0.565 0.500
0.435 0.286 0.500
0.500 0.000 0.500
0.565 0.714 0.500
0.714 0.435 0.500
0.786 0.935 0.500
0.935 0.214 0.500
0.119 0.619 0.000
0.381 0.119 0.000
0.619 0.881 0.000
0.881 0.381 0.000
0.000 0.000 0.000
0.500 0.500 0.000
```

**E**: -6.461 eV per atom
**D(E_F)**: 0.704 states/eV/atom
**Energy relative to the elements, uncorrected**: -449 meV/atom


4.
This record from Alexandria describes crystalline SmErCo2Ge2 at its relaxed geometry. The functional is PBE.

Geometry as POSCAR:
```
SmErCo2Ge2
1.0
4.201 0.000 0.000
-2.101 3.638 0.000
0.000 0.000 7.202
Sm Er Co Ge
1 1 2 2
Direct
0.000 0.000 0.000
0.000 0.000 0.500
0.333 0.667 0.721
0.667 0.333 0.279
0.333 0.667 0.267
0.667 0.333 0.733
```

**E**: -6.045 eV per atom
**D(E_F)**: 0.900 states/eV/atom
**DFT formation energy**: -342 kJ/mol of formula units


5.
This record from Alexandria describes crystalline TbErCo2Ge2 at its relaxed geometry. The functional is PBE.

Geometry as POSCAR:
```
TbErCo2Ge2
1.0
4.182 0.000 0.000
-2.091 3.622 0.000
0.000 0.000 7.122
Tb Er Co Ge
1 1 2 2
Direct
0.000 0.000 0.000
0.000 0.000 0.500
0.333 0.667 0.730
0.667 0.333 0.270
0.333 0.667 0.260
0.667 0.333 0.740
```

**E**: -6.044 eV per atom
**D(E_F)**: 0.869 states/eV/atom
**DFT formation energy**: -350 kJ/mol of formula units


6.
This record from Alexandria describes crystalline ErCoTcGe3 at its relaxed geometry. The functional is PBE.

Geometry as POSCAR:
```
ErCoTcGe3
1.0
3.838 -5.399 0.000
3.838 5.399 0.000
0.000 0.000 5.596
Er Co Tc Ge
2 2 2 6
Direct
0.246 0.754 0.750
0.754 0.246 0.250
0.028 0.972 0.250
0.972 0.028 0.750
0.447 0.553 0.250
0.553 0.447 0.750
0.231 0.769 0.250
0.241 0.241 0.000
0.241 0.241 0.500
0.759 0.759 0.000
0.759 0.759 0.500
0.769 0.231 0.750
```

**E**: -6.145 eV per atom
**D(E_F)**: 0.513 states/eV/atom
**DFT formation energy**: -95 kJ/mol of formula units


Size of the total moment list, top to bottom, in μB per atom: 0.192; 0.000; 0.000; 0.000; 0.000; 0.000